w | # Ca6Ga2N

Crystalline Ca6Ga2N at its relaxed geometry (PBE-GGA, the Alexandria database).

Calculated values
space-group type = Fm-3m, No. 225

Cell: 7.0013 7.0013 7.0013 Å, 60.00 60.00 60.00°
With the nearest neighbours (Å) after each atom.
Atoms (fractional coordinates):
Ca1 0.2399 0.2399 0.7601  1 N 2.37
Ca2 0.2399 0.7601 0.2399  1 N 2.37
Ca3 0.2399 0.7601 0.7601  1 N 2.37
Ca4 0.7601 0.2399 0.2399  1 N 2.37
Ca5 0.7601 0.2399 0.7601  1 N 2.37
Ca6 0.7601 0.7601 0.2399  1 N 2.37
Ga1 0.2500 0.2500 0.2500  12 Ca 3.50
Ga2 0.7500 0.7500 0.7500  12 Ca 3.50
N1 0.0000 0.0000 0.0000  6 Ca 2.37

x | # Ca6Ga2N

Crystalline Ca6Ga2N at its relaxed geometry (PBE-GGA, the Alexandria database).

Calculated values
space-group type = C2/m, No. 12

Cell: 7.6282 7.6282 9.6139 Å, 96.80 96.80 31.08°
With the nearest neighbours (Å) after each atom.
Atoms (fractional coordinates):
Ca1 0.0202 0.0202 0.2729  1 N 2.24
Ca2 0.1562 0.1562 0.5601  1 N 2.30
Ca3 0.3495 0.3495 0.9884  3 Ga 3.11-3.13
Ca4 0.6505 0.6505 0.0116  3 Ga 3.11-3.13
Ca5 0.8438 0.8438 0.4399  1 N 2.30
Ca6 0.9798 0.9798 0.7271  1 N 2.24
Ga1 0.2311 0.2311 0.2377  7 Ca 3.11-3.41
Ga2 0.7689 0.7689 0.7623  7 Ca 3.11-3.41
N1 0.0000 0.0000 0.5000  4 Ca 2.24-2.30

It is x that is the least stable of them.

w | # CaGa2N2

Crystalline CaGa2N2 at its relaxed geometry (PBE-GGA, the Alexandria database).

Calculated values
space-group type = C2/c, No. 15

Cell: 5.9768 5.9768 5.4157 Å, 116.66 116.66 81.80°
With the nearest neighbours (Å) after each atom.
Atoms (fractional coordinates):
Ca1 0.1161 0.8839 0.7500  2 N 2.35-2.42
Ca2 0.8839 0.1161 0.2500  2 N 2.35-2.42
Ga1 0.2388 0.4773 0.9472  3 N 2.04-2.13
Ga2 0.4773 0.2388 0.4472  3 N 2.04-2.13
Ga3 0.5227 0.7612 0.5528  3 N 2.04-2.13
Ga4 0.7612 0.5227 0.0528  3 N 2.04-2.13
N1 0.1841 0.8159 0.2500  2 Ga 2.05
N2 0.4247 0.5753 0.7500  4 Ga 2.04-2.13
N3 0.5753 0.4247 0.2500  4 Ga 2.04-2.13
N4 0.8159 0.1841 0.7500  2 Ga 2.05

x | # CaGa2N2

Crystalline CaGa2N2 at its relaxed geometry (PBE-GGA, the Alexandria database).

Calculated values
space-group type = P2_1/c, No. 14

Cell: 5.8936 9.8512 5.7110 Å, 90.00 105.70 90.00°
With the nearest neighbours (Å) after each atom.
Atoms (fractional coordinates):
Ca1 0.0558 0.1268 0.2333  4 N 2.42-2.70
Ca2 0.0558 0.3732 0.7333  4 N 2.42-2.70
Ca3 0.9442 0.6268 0.2667  4 N 2.42-2.70
Ca4 0.9442 0.8732 0.7667  4 N 2.42-2.70
Ga1 0.3280 0.6229 0.8928  2 N 2.01-2.06
Ga2 0.3280 0.8771 0.3928  2 N 2.01-2.06
Ga3 0.4197 0.1311 0.9447  4 N 1.98-2.02
Ga4 0.4197 0.3689 0.4447  4 N 1.98-2.02
Ga5 0.5803 0.6311 0.5553  4 N 1.98-2.02
Ga6 0.5803 0.8689 0.0553  4 N 1.98-2.02
Ga7 0.6720 0.1229 0.6072  2 N 2.01-2.06
Ga8 0.6720 0.3771 0.1072  2 N 2.01-2.06
N1 0.2824 0.5310 0.5602  3 Ga 1.98-2.06
N2 0.2824 0.9690 0.0602  3 Ga 1.98-2.06
N3 0.3545 0.1993 0.6025  3 Ga 1.98-2.01
N4 0.3545 0.3007 0.1025  3 Ga 1.98-2.01
N5 0.6455 0.6993 0.8975  3 Ga 1.98-2.01
N6 0.6455 0.8007 0.3975  3 Ga 1.98-2.01
N7 0.7176 0.0310 0.9398  3 Ga 1.98-2.06
N8 0.7176 0.4690 0.4398  3 Ga 1.98-2.06

It is w that is the least stable of them.

w | # CaGa3N

Crystalline CaGa3N at its relaxed geometry (PBE-GGA, the Alexandria database).

Calculated values
space-group type = Pm-3m, No. 221

Cell: 4.5491 4.5491 4.5491 Å, 90.00 90.00 90.00°
With the nearest neighbours (Å) after each atom.
Atoms (fractional coordinates):
Ca1 0.0000 0.0000 0.0000  12 Ga 3.22
Ga1 0.0000 0.5000 0.5000  2 N 2.27
Ga2 0.5000 0.0000 0.5000  2 N 2.27
Ga3 0.5000 0.5000 0.0000  2 N 2.27
N1 0.5000 0.5000 0.5000  6 Ga 2.27

x | # CaGa3N

Crystalline CaGa3N at its relaxed geometry (PBE-GGA, the Alexandria database).

Calculated values
space-group type = Pm-3m, No. 221

Cell: 5.5279 5.5279 5.5279 Å, 90.00 90.00 90.00°
With the nearest neighbours (Å) after each atom.
Atoms (fractional coordinates):
Ca1 0.0000 0.0000 0.0000  6 Ga 2.76
Ga1 0.0000 0.0000 0.5000  2 Ca 2.76
Ga2 0.0000 0.5000 0.0000  2 Ca 2.76
Ga3 0.5000 0.0000 0.0000  2 Ca 2.76
N1 0.5000 0.5000 0.5000  12 Ga 3.91

It is x that is the least stable of them.

w | # CaGaS2N

Crystalline CaGaS2N at its relaxed geometry (PBE-GGA, the Alexandria database).

Calculated values
space-group type = P4/mmm, No. 123

Cell: 5.3739 5.3739 4.6925 Å, 90.00 90.00 90.00°
With the nearest neighbours (Å) after each atom.
Atoms (fractional coordinates):
Ca1 0.0000 0.0000 0.0000  2 N 2.35
Ga1 0.5000 0.5000 0.5000  8 S 3.57, 4 N 3.80
S1 0.0000 0.5000 0.0000  2 Ca 2.69
S2 0.5000 0.0000 0.0000  2 Ca 2.69
N1 0.0000 0.0000 0.5000  2 Ca 2.35

x | # CaGaS2N

Crystalline CaGaS2N at its relaxed geometry (PBE-GGA, the Alexandria database).

Calculated values
space-group type = P4/mmm, No. 123

Cell: 4.9280 4.9280 3.8430 Å, 90.00 90.00 90.00°
With the nearest neighbours (Å) after each atom.
Atoms (fractional coordinates):
Ca1 0.0000 0.0000 0.0000  8 S 3.12, 4 N 3.48
Ga1 0.5000 0.5000 0.5000  2 N 1.92
S1 0.0000 0.5000 0.5000  2 Ga 2.46
S2 0.5000 0.0000 0.5000  2 Ga 2.46
N1 0.5000 0.5000 0.0000  2 Ga 1.92

It is w that is the least stable of them.

w | # CaGaSe2N

Crystalline CaGaSe2N at its relaxed geometry (PBE-GGA, the Alexandria database).

Calculated values
space-group type = P4/mmm, No. 123

Cell: 5.5410 5.5410 4.4221 Å, 90.00 90.00 90.00°
With the nearest neighbours (Å) after each atom.
Atoms (fractional coordinates):
Ca1 0.0000 0.0000 0.0000  2 N 2.21
Ga1 0.5000 0.5000 0.5000  8 Se 3.54, 4 N 3.92
Se1 0.0000 0.5000 0.0000  2 Ca 2.77
Se2 0.5000 0.0000 0.0000  2 Ca 2.77
N1 0.0000 0.0000 0.5000  2 Ca 2.21

x | # CaGaSe2N

Crystalline CaGaSe2N at its relaxed geometry (PBE-GGA, the Alexandria database).

Calculated values
space-group type = P4/mmm, No. 123

Cell: 5.2537 5.2537 3.8052 Å, 90.00 90.00 90.00°
With the nearest neighbours (Å) after each atom.
Atoms (fractional coordinates):
Ca1 0.0000 0.0000 0.0000  8 Se 3.24
Ga1 0.5000 0.5000 0.5000  2 N 1.90
Se1 0.0000 0.5000 0.5000  2 Ga 2.63
Se2 0.5000 0.0000 0.5000  2 Ga 2.63
N1 0.5000 0.5000 0.0000  2 Ga 1.90

It is w that is the least stable of them.

w | # Na2CaGa2

Crystalline Na2CaGa2 at its relaxed geometry (PBE-GGA, the Alexandria database).

Calculated values
space-group type = P4/mbm, No. 127

Cell: 8.5439 8.5439 3.4350 Å, 90.00 90.00 90.00°
With the nearest neighbours (Å) after each atom.
Atoms (fractional coordinates):
Na1 0.1190 0.3810 0.0000  1 Na 2.88, 6 Ga 2.96-3.14
Na2 0.3810 0.8810 0.0000  1 Na 2.88, 6 Ga 2.96-3.14
Na3 0.6190 0.1190 0.0000  1 Na 2.88, 6 Ga 2.96-3.14
Na4 0.8810 0.6190 0.0000  1 Na 2.88, 6 Ga 2.96-3.14
Ca1 0.0000 0.0000 0.0000  4 Na 3.41, 2 Ca 3.43, 8 Ga 3.57
Ca2 0.5000 0.5000 0.0000  4 Na 3.41, 2 Ca 3.43, 8 Ga 3.57
Ga1 0.1819 0.6819 0.5000  6 Na 2.96-3.14
Ga2 0.3181 0.1819 0.5000  6 Na 2.96-3.14
Ga3 0.6819 0.8181 0.5000  6 Na 2.96-3.14
Ga4 0.8181 0.3181 0.5000  6 Na 2.96-3.14

x | # Na2CaGa2

Crystalline Na2CaGa2 at its relaxed geometry (PBE-GGA, the Alexandria database).

Calculated values
space-group type = P4/mbm, No. 127

Cell: 8.2559 8.2559 3.9377 Å, 90.00 90.00 90.00°
With the nearest neighbours (Å) after each atom.
Atoms (fractional coordinates):
Na1 0.1773 0.3227 0.0000  6 Ga 3.14-3.15
Na2 0.3227 0.8227 0.0000  6 Ga 3.14-3.15
Na3 0.6773 0.1773 0.0000  6 Ga 3.14-3.15
Na4 0.8227 0.6773 0.0000  6 Ga 3.14-3.15
Ca1 0.0000 0.0000 0.5000  4 Ga 3.33, 8 Na 3.62
Ca2 0.5000 0.5000 0.5000  4 Ga 3.33, 8 Na 3.62
Ga1 0.1129 0.6129 0.5000  1 Ga 2.64
Ga2 0.3871 0.1129 0.5000  1 Ga 2.64
Ga3 0.6129 0.8871 0.5000  1 Ga 2.64
Ga4 0.8871 0.3871 0.5000  1 Ga 2.64

It is w that is the least stable of them.